A relaxed structure of Cs2HfZnO4, computed with PBE-GGA.

Structure (POSCAR):
```
Cs2HfZnO4
1.0
-0.780 -3.518 3.950
5.516 -0.445 4.311
-4.799 6.513 8.470
O Hf Zn Cs
8 2 2 4
Cartesian
0.173 0.516 11.274
-3.605 5.145 9.221
-0.006 -1.711 3.978
1.341 0.713 8.212
-1.421 1.764 8.602
-0.464 2.430 14.811
3.948 -0.763 5.453
-0.221 2.107 5.376
0.000 0.000 0.000
-0.227 0.396 9.353
0.163 2.155 7.378
-0.390 -1.759 1.975
1.315 -2.497 7.082
-2.322 -0.624 6.222
-3.257 3.620 6.198
-1.769 3.289 11.625
```

Calculated values
space group: Fddd (70)
E_form (uncorrected): -2.049 eV/atom